## one
Computed, not measured: a geometry-optimized Ca2BiIr2 structure at the PBE-GGA level of DFT.

Structure (CIF):
```
data_Ca2BiIr2
_chemical_formula_sum 'Ca4 Bi2 Ir4'
_cell_length_a 7.2212
_cell_length_b 7.2212
_cell_length_c 4.4840
_cell_angle_alpha 90.00
_cell_angle_beta 90.00
_cell_angle_gamma 90.00
_space_group_name_H-M_alt 'P 4/m b m'
_space_group_IT_number 127
_space_group_name_Hall '-P 4 2ab'
loop_
_atom_site_label
_atom_site_type_symbol
_atom_site_fract_x
_atom_site_fract_y
_atom_site_fract_z
_atom_site_occupancy
Ca1 Ca 0.1730 0.3270 0.0000 1
Bi1 Bi 0.0000 0.0000 0.5000 1
Ir1 Ir 0.1219 0.6219 0.5000 1
```

Output
- M_tot: 0.00 μB/cell


## two
Computed, not measured: a geometry-optimized Ca2BiIr2 structure at the PBE-GGA level of DFT.

Structure (CIF):
```
data_Ca2BiIr2
_chemical_formula_sum 'Ca4 Bi2 Ir4'
_cell_length_a 4.4637
_cell_length_b 4.4637
_cell_length_c 12.2486
_cell_angle_alpha 90.00
_cell_angle_beta 90.00
_cell_angle_gamma 90.00
_space_group_name_H-M_alt 'I 4/m m m'
_space_group_IT_number 139
_space_group_name_Hall '-I 4 2'
loop_
_atom_site_label
_atom_site_type_symbol
_atom_site_fract_x
_atom_site_fract_y
_atom_site_fract_z
_atom_site_occupancy
Ca1 Ca 0.0000 0.5000 0.2500 1
Bi1 Bi 0.0000 0.0000 0.0000 1
Ir1 Ir 0.0000 0.0000 0.4001 1
```

Output
- M_tot: 0.00 μB/cell


one is favored, and the nearest alternative lies 53.2 kJ/mol of atoms above it.


## one
Computed, not measured: a geometry-optimized K2CaBi2 structure at the PBE-GGA level of DFT.

Structure (CIF):
```
data_K2CaBi2
_chemical_formula_sum 'K4 Ca2 Bi4'
_cell_length_a 8.3735
_cell_length_b 8.3735
_cell_length_c 5.7486
_cell_angle_alpha 90.00
_cell_angle_beta 90.00
_cell_angle_gamma 90.00
_space_group_name_H-M_alt 'P 4/m b m'
_space_group_IT_number 127
_space_group_name_Hall '-P 4 2ab'
loop_
_atom_site_label
_atom_site_type_symbol
_atom_site_fract_x
_atom_site_fract_y
_atom_site_fract_z
_atom_site_occupancy
K1 K 0.1607 0.3393 0.0000 1
Ca1 Ca 0.0000 0.0000 0.5000 1
Bi1 Bi 0.1333 0.6333 0.5000 1
```

Output
- M_tot: 0.00 μB/cell


## two
Computed, not measured: a geometry-optimized K2CaBi2 structure at the PBE-GGA level of DFT.

Structure (CIF):
```
data_K2CaBi2
_chemical_formula_sum 'K4 Ca2 Bi4'
_cell_length_a 9.9321
_cell_length_b 9.9321
_cell_length_c 3.7377
_cell_angle_alpha 90.00
_cell_angle_beta 90.00
_cell_angle_gamma 90.00
_space_group_name_H-M_alt 'P 4/m b m'
_space_group_IT_number 127
_space_group_name_Hall '-P 4 2ab'
loop_
_atom_site_label
_atom_site_type_symbol
_atom_site_fract_x
_atom_site_fract_y
_atom_site_fract_z
_atom_site_occupancy
K1 K 0.1120 0.3880 0.0000 1
Ca1 Ca 0.0000 0.0000 0.0000 1
Bi1 Bi 0.1880 0.6880 0.5000 1
```

Output
- M_tot: 0.00 μB/cell


## three
Computed, not measured: a geometry-optimized K2CaBi2 structure at the PBE-GGA level of DFT.

Structure (CIF):
```
data_K2CaBi2
_chemical_formula_sum 'K4 Ca2 Bi4'
_cell_length_a 4.8680
_cell_length_b 4.8680
_cell_length_c 16.2454
_cell_angle_alpha 90.00
_cell_angle_beta 90.00
_cell_angle_gamma 90.00
_space_group_name_H-M_alt 'I 4/m m m'
_space_group_IT_number 139
_space_group_name_Hall '-I 4 2'
loop_
_atom_site_label
_atom_site_type_symbol
_atom_site_fract_x
_atom_site_fract_y
_atom_site_fract_z
_atom_site_occupancy
K1 K 0.0000 0.5000 0.2500 1
Ca1 Ca 0.0000 0.0000 0.0000 1
Bi1 Bi 0.0000 0.0000 0.4075 1
```

Output
- M_tot: 0.00 μB/cell


one is favored, and the nearest alternative lies 19.9 kJ/mol of atoms above it.


## one
Computed, not measured: a geometry-optimized KCa2Bi2 structure at the PBE-GGA level of DFT.

Structure (CIF):
```
data_KCa2Bi2
_chemical_formula_sum 'K2 Ca4 Bi4'
_cell_length_a 5.4467
_cell_length_b 5.4467
_cell_length_c 13.7252
_cell_angle_alpha 90.00
_cell_angle_beta 90.00
_cell_angle_gamma 90.00
_space_group_name_H-M_alt 'I 4/m m m'
_space_group_IT_number 139
_space_group_name_Hall '-I 4 2'
loop_
_atom_site_label
_atom_site_type_symbol
_atom_site_fract_x
_atom_site_fract_y
_atom_site_fract_z
_atom_site_occupancy
K1 K 0.0000 0.0000 0.0000 1
Ca1 Ca 0.0000 0.5000 0.2500 1
Bi1 Bi 0.0000 0.0000 0.3782 1
```

Output
- M_tot: 0.00 μB/cell


## two
Computed, not measured: a geometry-optimized KCa2Bi2 structure at the PBE-GGA level of DFT.

Structure (CIF):
```
data_KCa2Bi2
_chemical_formula_sum 'K2 Ca4 Bi4'
_cell_length_a 9.5842
_cell_length_b 9.5842
_cell_length_c 3.8222
_cell_angle_alpha 90.00
_cell_angle_beta 90.00
_cell_angle_gamma 90.00
_space_group_name_H-M_alt 'P 4/m b m'
_space_group_IT_number 127
_space_group_name_Hall '-P 4 2ab'
loop_
_atom_site_label
_atom_site_type_symbol
_atom_site_fract_x
_atom_site_fract_y
_atom_site_fract_z
_atom_site_occupancy
K1 K 0.0000 0.0000 0.0000 1
Ca1 Ca 0.1347 0.3653 0.5000 1
Bi1 Bi 0.1611 0.6611 0.0000 1
```

Output
- M_tot: 0.00 μB/cell


two is favored, and the nearest alternative lies 10.6 kJ/mol of atoms above it.


## one
Computed, not measured: a geometry-optimized K3CaBi structure at the PBE-GGA level of DFT.

Structure (CIF):
```
data_K3CaBi
_chemical_formula_sum 'K3 Ca1 Bi1'
_cell_length_a 6.8088
_cell_length_b 6.8088
_cell_length_c 6.8088
_cell_angle_alpha 90.00
_cell_angle_beta 90.00
_cell_angle_gamma 90.00
_space_group_name_H-M_alt 'P m -3 m'
_space_group_IT_number 221
_space_group_name_Hall '-P 4 2 3'
loop_
_atom_site_label
_atom_site_type_symbol
_atom_site_fract_x
_atom_site_fract_y
_atom_site_fract_z
_atom_site_occupancy
K1 K 0.0000 0.0000 0.5000 1
Ca1 Ca 0.0000 0.0000 0.0000 1
Bi1 Bi 0.5000 0.5000 0.5000 1
```

Output
- M_tot: 0.00 μB/cell


## two
Computed, not measured: a geometry-optimized K3CaBi structure at the PBE-GGA level of DFT.

Structure (CIF):
```
data_K3CaBi
_chemical_formula_sum 'K3 Ca1 Bi1'
_cell_length_a 6.8489
_cell_length_b 6.8489
_cell_length_c 6.8489
_cell_angle_alpha 90.00
_cell_angle_beta 90.00
_cell_angle_gamma 90.00
_space_group_name_H-M_alt 'P m -3 m'
_space_group_IT_number 221
_space_group_name_Hall '-P 4 2 3'
loop_
_atom_site_label
_atom_site_type_symbol
_atom_site_fract_x
_atom_site_fract_y
_atom_site_fract_z
_atom_site_occupancy
K1 K 0.0000 0.0000 0.5000 1
Ca1 Ca 0.5000 0.5000 0.5000 1
Bi1 Bi 0.0000 0.0000 0.0000 1
```

Output
- M_tot: 0.00 μB/cell


two is favored, and the nearest alternative lies 53.0 kJ/mol of atoms above it.


## one
Computed, not measured: a geometry-optimized CaLaBi structure at the PBE-GGA level of DFT.

Structure (CIF):
```
data_CaLaBi
_chemical_formula_sum 'Ca2 La2 Bi2'
_cell_length_a 6.4002
_cell_length_b 4.6157
_cell_length_c 8.3659
_cell_angle_alpha 90.00
_cell_angle_beta 109.40
_cell_angle_gamma 90.00
_space_group_name_H-M_alt 'P 1 21/m 1'
_space_group_IT_number 11
_space_group_name_Hall '-P 2yb'
loop_
_atom_site_label
_atom_site_type_symbol
_atom_site_fract_x
_atom_site_fract_y
_atom_site_fract_z
_atom_site_occupancy
Ca1 Ca 0.2187 0.2500 0.4202 1
La1 La 0.2172 0.2500 0.9461 1
Bi1 Bi 0.3344 0.7500 0.7055 1
```

Output
- M_tot: 3.19 μB/cell


## two
Computed, not measured: a geometry-optimized CaLaBi structure at the PBE-GGA level of DFT.

Structure (CIF):
```
data_CaLaBi
_chemical_formula_sum 'Ca4 La4 Bi4'
_cell_length_a 4.4982
_cell_length_b 14.4726
_cell_length_c 6.5601
_cell_angle_alpha 90.00
_cell_angle_beta 90.00
_cell_angle_gamma 90.00
_space_group_name_H-M_alt 'C m c m'
_space_group_IT_number 63
_space_group_name_Hall '-C 2c 2'
loop_
_atom_site_label
_atom_site_type_symbol
_atom_site_fract_x
_atom_site_fract_y
_atom_site_fract_z
_atom_site_occupancy
Ca1 Ca 0.0000 0.2041 0.2500 1
La1 La 0.0000 0.5000 0.0000 1
Bi1 Bi 0.0000 0.1357 0.7500 1
```

Output
- M_tot: 0.92 μB/cell


## three
Computed, not measured: a geometry-optimized CaLaBi structure at the PBE-GGA level of DFT.

Structure (CIF):
```
data_CaLaBi
_chemical_formula_sum 'Ca2 La2 Bi2'
_cell_length_a 4.2431
_cell_length_b 4.2431
_cell_length_c 11.2964
_cell_angle_alpha 90.00
_cell_angle_beta 90.00
_cell_angle_gamma 90.00
_space_group_name_H-M_alt 'I 4 m m'
_space_group_IT_number 107
_space_group_name_Hall 'I 4 -2'
loop_
_atom_site_label
_atom_site_type_symbol
_atom_site_fract_x
_atom_site_fract_y
_atom_site_fract_z
_atom_site_occupancy
Ca1 Ca 0.0000 0.0000 0.0000 1
La1 La 0.0000 0.0000 0.2998 1
Bi1 Bi 0.0000 0.0000 0.6441 1
```

Output
- M_tot: 3.81 μB/cell


two is favored, and the nearest alternative lies 14.0 kJ/mol of atoms above it.


## one
Computed, not measured: a geometry-optimized Ca2La2Bi structure at the PBE-GGA level of DFT.

Structure (CIF):
```
data_Ca2La2Bi
_chemical_formula_sum 'Ca4 La4 Bi2'
_cell_length_a 8.2652
_cell_length_b 8.2652
_cell_length_c 5.7159
_cell_angle_alpha 90.00
_cell_angle_beta 90.00
_cell_angle_gamma 90.00
_space_group_name_H-M_alt 'P 4/m b m'
_space_group_IT_number 127
_space_group_name_Hall '-P 4 2ab'
loop_
_atom_site_label
_atom_site_type_symbol
_atom_site_fract_x
_atom_site_fract_y
_atom_site_fract_z
_atom_site_occupancy
Ca1 Ca 0.1664 0.3336 0.0000 1
La1 La 0.1318 0.6318 0.5000 1
Bi1 Bi 0.0000 0.0000 0.5000 1
```

Output
- M_tot: 0.00 μB/cell


## two
Computed, not measured: a geometry-optimized Ca2La2Bi structure at the PBE-GGA level of DFT.

Structure (CIF):
```
data_Ca2La2Bi
_chemical_formula_sum 'Ca4 La4 Bi2'
_cell_length_a 8.3718
_cell_length_b 8.3718
_cell_length_c 5.2013
_cell_angle_alpha 90.00
_cell_angle_beta 90.00
_cell_angle_gamma 90.00
_space_group_name_H-M_alt 'P 4/m b m'
_space_group_IT_number 127
_space_group_name_Hall '-P 4 2ab'
loop_
_atom_site_label
_atom_site_type_symbol
_atom_site_fract_x
_atom_site_fract_y
_atom_site_fract_z
_atom_site_occupancy
Ca1 Ca 0.1497 0.3503 0.0000 1
La1 La 0.1529 0.6529 0.5000 1
Bi1 Bi 0.0000 0.0000 0.0000 1
```

Output
- M_tot: 0.00 μB/cell


one is favored, and the nearest alternative lies 4.9 kJ/mol of atoms above it.